[1]
Compound: Cd2CuAu
Source: Alexandria
Functional: meta-GGA SCAN
Structure: PBEsol geometry

Results
As for the formation energy from the elements: -0.084 eV/atom. Its density of states at the Fermi level is 1.10 states/eV per cell. As for the space-group type: No. 139. The value obtained for the magnetization is 0.00 μB per cell.

a = 4.7816 Å, b = 4.7816 Å, c = 4.7816 Å
α = 126.84°, β = 126.84°, γ = 78.51°
With the nearest neighbours (Å) after each atom.
Fractional coordinates of all 4 atoms:
Cd  0.2500  0.7500  0.5000  4 Cu 2.83, 4 Au 2.83, 4 Cd 3.03
Cd  0.7500  0.2500  0.5000  4 Cu 2.83, 4 Au 2.83, 4 Cd 3.03
Cu  0.0000  0.0000  0.0000  8 Cd 2.83, 4 Au 3.03
Au  0.5000  0.5000  0.0000  8 Cd 2.83, 4 Cu 3.03



[2]
Compound: CdCuAu2
Source: Alexandria
Functional: meta-GGA SCAN
Structure: PBEsol geometry

Results
As for the formation energy from the elements: -0.071 eV/atom. Its density of states at the Fermi level is 1.15 states/eV per cell. As for the space-group type: No. 12. The value obtained for the magnetization is 0.00 μB per cell.

a = 4.9801 Å, b = 4.9801 Å, c = 4.7678 Å
α = 105.85°, β = 105.85°, γ = 35.14°
With the nearest neighbours (Å) after each atom.
Fractional coordinates of all 4 atoms:
Cd  0.0000  0.0000  0.0000  4 Cu 2.82, 6 Au 2.85-2.90, 2 Cd 3.01
Cu  0.5000  0.5000  0.5000  4 Au 2.65, 4 Cd 2.82
Au  0.2338  0.2338  0.7360  2 Cu 2.65, 4 Au 2.80-2.87, 3 Cd 2.85-2.90
Au  0.7662  0.7662  0.2640  2 Cu 2.65, 4 Au 2.80-2.87, 3 Cd 2.85-2.90